Compound: Ba3Li2Ge2
Source: Alexandria
Functional: PBE-GGA
Structure: optimized geometry

Its density of states at the Fermi level is 0.021 states/eV per atom. The calculation puts the total energy at -3.105 eV per atom.

It has space group Pbcm (No. 57), with a = 6.395 Å, b = 9.024 Å, c = 15.190 Å, α = 90.00°, β = 90.00° and γ = 90.00°. The asymmetric unit holds Ba at (0.103, 0.126, 0.106), Ba at (0.348, 0.739, 0.750), Li at (0.401, 0.030, 0.582), Ge at (0.174, 0.091, 0.750) and Ge at (0.359, 0.750, 0.000).